Entry 1:
VASP calculation (PBE-GGA) on crystalline CuAsSe2 at its relaxed geometry.

Cell: 3.3323 3.3323 6.5616 Å, 90.00 90.00 90.00°
Fractional coordinates of all 4 atoms:
Cu 0.0000 0.0000 0.0000
As 0.0000 0.0000 0.5000
Se 0.5000 0.5000 0.2360
Se 0.5000 0.5000 0.7640

Computed properties:
VASP energy = -14.2 eV per cell
formation energy (no corrections) = 37.18 kJ per mole of atoms


Entry 2:
VASP calculation (PBE-GGA) on crystalline Cu3AsSe4 at its relaxed geometry.

Cell: 5.6364 5.6364 11.1682 Å, 90.00 90.00 90.00°
Fractional coordinates of all 16 atoms:
Cu 0.0000 0.0000 0.0000
Cu 0.0000 0.5000 0.2500
Cu 0.0000 0.5000 0.7500
Cu 0.5000 0.0000 0.2500
Cu 0.5000 0.0000 0.7500
Cu 0.5000 0.5000 0.5000
As 0.0000 0.0000 0.5000
As 0.5000 0.5000 0.0000
Se 0.2438 0.2438 0.1297
Se 0.2438 0.7562 0.8703
Se 0.2562 0.2562 0.6297
Se 0.2562 0.7438 0.3703
Se 0.7438 0.2562 0.3703
Se 0.7438 0.7438 0.6297
Se 0.7562 0.2438 0.8703
Se 0.7562 0.7562 0.1297

Computed properties:
VASP energy = -64.2 eV per cell
formation energy (no corrections) = -14.98 kJ per mole of atoms


Entry 3:
VASP calculation (PBE-GGA) on crystalline CuAsSe2 at its relaxed geometry.

Cell: 3.6254 8.1566 7.0209 Å, 90.00 90.00 90.00°
Fractional coordinates of all 8 atoms:
Cu 0.0000 0.0000 0.0000
Cu 0.5000 0.5000 0.0000
As 0.0000 0.0000 0.5000
As 0.5000 0.5000 0.5000
Se 0.0000 0.5000 0.2360
Se 0.0000 0.5000 0.7640
Se 0.5000 0.0000 0.2360
Se 0.5000 0.0000 0.7640

Computed properties:
VASP energy = -29.8 eV per cell
formation energy (no corrections) = 20.00 kJ per mole of atoms


The records above yield size of the total moment values of 0.00 0.00 0.00 Bohr magnetons per cell, respectively.
The records above yield calculated density values of 6.75 5.44 4.74 g cm⁻³, respectively.